## YCo2GeN (PBE)

Data for crystalline YCo2GeN at its relaxed geometry.

Results
The total energy comes out at -7.4394 eV/atom. The space group is Cmcm.

abc: 5.787 5.787 6.871
angles: 90.00 90.00 143.93
Sites, in units of the cell vectors:
Y 0.040 0.960 0.750
Y 0.960 0.040 0.250
Co 0.340 0.660 0.552
Co 0.340 0.660 0.948
Co 0.660 0.340 0.052
Co 0.660 0.340 0.448
Ge 0.233 0.767 0.250
Ge 0.767 0.233 0.750
N 0.500 0.500 0.000
N 0.500 0.500 0.500